Record 1
## SrW2Se (PBE)

Data for a geometry-optimized SrW2Se structure.

POSCAR file:
```
SrW2Se
1.0
-1.6759 2.8388 4.7626
1.6759 -2.8388 4.7626
1.6759 2.8388 -4.7626
Sr W Se
1 2 1
Direct
0.0000 0.0000 0.0000 Sr
0.3102 0.8102 0.5000 W
0.5024 0.5024 0.0000 W
0.7227 0.2227 0.5000 Se
```

Properties
Its volume is 22.658 A^3/atom. For the formation energy (no corrections), the calculation gives 717 meV per atom. The total energy is -28.21 eV/f.u.


Record 2
## SrWSe2 (PBE)

Data for a geometry-optimized SrWSe2 structure.

POSCAR file:
```
SrWSe2
1.0
4.7774 0.0000 0.0000
0.0000 1.8642 5.5953
0.0000 -1.8642 5.5953
Sr W Se
1 1 2
Direct
0.0000 0.0000 0.0000 Sr
0.5000 0.7605 0.7605 W
0.0000 0.7204 0.7204 Se
0.5000 0.4149 0.4149 Se
```

Properties
Its volume is 24.916 A^3/atom. For the formation energy (no corrections), the calculation gives -410 meV per atom. The total energy is -23.24 eV/f.u. The value obtained for the offset from the most stable computed form is 0.113 eV/atom.


Record 3
## SrWSe2 (PBE)

Data for a geometry-optimized SrWSe2 structure.

POSCAR file:
```
SrWSe2
1.0
-2.9830 2.9830 6.7473
2.9830 -2.9830 6.7473
2.9830 2.9830 -6.7473
Sr W Se
2 2 4
Direct
0.0000 0.0000 0.0000 Sr
0.7500 0.2500 0.5000 Sr
0.2500 0.7500 0.5000 W
0.5000 0.5000 0.0000 W
0.2144 0.6250 0.0894 Se
0.3750 0.4644 0.5894 Se
0.5356 0.1250 0.9106 Se
0.8750 0.7856 0.4106 Se
```

Properties
Its volume is 30.021 A^3/atom. For the formation energy (no corrections), the calculation gives -285 meV per atom. The total energy is -22.74 eV/f.u. The value obtained for the offset from the most stable computed form is 0.238 eV/atom.